VASP calculation (PBE-GGA) on ZnNiRu2 after structural relaxation.

The structure in extended XYZ format:
```
4
Lattice="3.698 0.000 0.000 0.000 2.720 0.015 0.000 2.682 5.301" Properties=species:S:1:pos:R:3 pbc="T T T"
Ni 1.849 4.052 3.932
Ru 0.000 2.720 0.066
Ru 1.849 1.351 1.243
Zn 0.000 2.701 2.749
```

SG: Pm
DFT formation energy (meV per atom): 17
M_tot (μB per cell): 0.000
Total energy (eV per atom): -6.385